DFT (GGA-PBE) results for Er3ScIn2 after structural relaxation.

V   26.5 Å³ per atom
ΔE to the lowest computed polymorph   0.000 eV per atom
E   -4.5655 eV/atom

```
data_Er3ScIn2
_chemical_formula_sum 'Er3 Sc1 In2'
_cell_length_a 4.391
_cell_length_b 4.805
_cell_length_c 7.907
_cell_angle_alpha 107.69
_cell_angle_beta 90.00
_cell_angle_gamma 90.00
_symmetry_space_group_name_H-M 'P 1'
_symmetry_Int_Tables_number 1
loop_
_symmetry_equiv_pos_as_xyz
'x,y,z'
loop_
_atom_site_label
_atom_site_fract_x
_atom_site_fract_y
_atom_site_fract_z
In1 0.000 0.653 0.305
In2 0.000 0.347 0.695
Er1 0.500 0.830 0.659
Sc1 0.000 0.000 0.000
Er2 0.500 0.500 0.000
Er3 0.500 0.170 0.341
```